No. 1
# PBE AgRuIO2, relaxed
# ΔE_f (raw), eV per atom: -0.249
# Relative energy among the computed polymorphs, eV per atom: 0.000
data_AgRuIO2
_cell_length_a 3.892
_cell_length_b 3.892
_cell_length_c 6.087
_cell_angle_alpha 90.00
_cell_angle_beta 90.00
_cell_angle_gamma 90.00
_symmetry_space_group_name_H-M 'P 4/m m m'
_symmetry_Int_Tables_number 123
_symmetry_space_group_name_Hall '-P 4 2'
loop_
_atom_site_label
_atom_site_fract_x
_atom_site_fract_y
_atom_site_fract_z
Ag1 0.000 0.000 0.000
Ru1 0.500 0.500 0.500
I1 0.500 0.500 0.000
O1 0.000 0.500 0.500



No. 2
# PBE AgRuIO2, relaxed
# ΔE_f (raw), eV per atom: 0.959
# Relative energy among the computed polymorphs, eV per atom: 1.208
data_AgRuIO2
_cell_length_a 3.986
_cell_length_b 3.986
_cell_length_c 6.476
_cell_angle_alpha 90.00
_cell_angle_beta 90.00
_cell_angle_gamma 90.00
_symmetry_space_group_name_H-M 'P 4/m m m'
_symmetry_Int_Tables_number 123
_symmetry_space_group_name_Hall '-P 4 2'
loop_
_atom_site_label
_atom_site_fract_x
_atom_site_fract_y
_atom_site_fract_z
Ag1 0.000 0.000 0.000
Ru1 0.500 0.500 0.500
I1 0.000 0.000 0.500
O1 0.000 0.500 0.000



No. 3
# PBE AgSI2O, relaxed
# ΔE_f (raw), eV per atom: 0.195
# Relative energy among the computed polymorphs, eV per atom: 0.000
data_AgSI2O
_cell_length_a 5.744
_cell_length_b 5.744
_cell_length_c 3.621
_cell_angle_alpha 90.00
_cell_angle_beta 90.00
_cell_angle_gamma 90.00
_symmetry_space_group_name_H-M 'P 4/m m m'
_symmetry_Int_Tables_number 123
_symmetry_space_group_name_Hall '-P 4 2'
loop_
_atom_site_label
_atom_site_fract_x
_atom_site_fract_y
_atom_site_fract_z
Ag1 0.000 0.000 0.000
S1 0.500 0.500 0.500
I1 0.000 0.500 0.500
O1 0.500 0.500 0.000



No. 4
# PBE AgS2IO8, relaxed
# ΔE_f (raw), eV per atom: -0.853
data_AgS2IO8
_cell_length_a 11.914
_cell_length_b 5.324
_cell_length_c 6.948
_cell_angle_alpha 90.00
_cell_angle_beta 122.82
_cell_angle_gamma 90.00
_symmetry_space_group_name_H-M 'C 1 2/m 1'
_symmetry_Int_Tables_number 12
loop_
_symmetry_equiv_pos_as_xyz
'x,y,z'
'-x,-y,-z'
'-x,y,-z'
'x,-y,z'
'x+1/2,y+1/2,z'
'-x+1/2,-y+1/2,-z'
'-x+1/2,y+1/2,-z'
'x+1/2,-y+1/2,z'
loop_
_atom_site_label
_atom_site_fract_x
_atom_site_fract_y
_atom_site_fract_z
Ag1 0.000 0.000 0.000
S1 0.202 0.000 0.737
I1 0.000 0.500 0.500
O1 0.144 0.000 0.876
O2 0.150 0.226 0.569
O3 0.154 0.500 0.141



No. 5
# PBE AgSI2O, relaxed
# ΔE_f (raw), eV per atom: 0.730
# Relative energy among the computed polymorphs, eV per atom: 0.535
data_AgSI2O
_cell_length_a 5.650
_cell_length_b 5.650
_cell_length_c 3.987
_cell_angle_alpha 90.00
_cell_angle_beta 90.00
_cell_angle_gamma 90.00
_symmetry_space_group_name_H-M 'P 4/m m m'
_symmetry_Int_Tables_number 123
_symmetry_space_group_name_Hall '-P 4 2'
loop_
_atom_site_label
_atom_site_fract_x
_atom_site_fract_y
_atom_site_fract_z
Ag1 0.000 0.000 0.000
S1 0.500 0.500 0.500
I1 0.000 0.500 0.000
O1 0.000 0.000 0.500



No. 6
# PBE AgSbIO2, relaxed
# ΔE_f (raw), eV per atom: 0.546
# Relative energy among the computed polymorphs, eV per atom: 1.135
data_AgSbIO2
_cell_length_a 4.350
_cell_length_b 4.350
_cell_length_c 5.277
_cell_angle_alpha 90.00
_cell_angle_beta 90.00
_cell_angle_gamma 90.00
_symmetry_space_group_name_H-M 'P 4/m m m'
_symmetry_Int_Tables_number 123
_symmetry_space_group_name_Hall '-P 4 2'
loop_
_atom_site_label
_atom_site_fract_x
_atom_site_fract_y
_atom_site_fract_z
Ag1 0.000 0.000 0.000
Sb1 0.500 0.500 0.500
I1 0.000 0.000 0.500
O1 0.000 0.500 0.000



no.,ρ (g/cm3)
1,6.6
2,5.9
3,5.7
4,3.8
5,5.3
6,6.5